No. 1
LiNdSbH | PBE | relaxed

Output
volume	19.3	Å³ per atom
space group	P4/nmm (129)
M_tot	0.00	μB/f.u.

Structure (POSCAR):
```
LiNdSbH
1.0
4.285 0.000 0.000
0.000 4.285 0.000
0.000 0.000 8.404
Li Nd Sb H
2 2 2 2
direct
0.250 0.750 0.000
0.750 0.250 0.000
0.250 0.250 0.369
0.750 0.750 0.631
0.250 0.250 0.787
0.750 0.750 0.213
0.250 0.750 0.500
0.750 0.250 0.500
```


No. 2
Al5NiPd4 | PBE | relaxed

Output
volume	14.1	Å³ per atom
space group	P4/mmm (123)
M_tot	0.00	μB/f.u.

Structure (POSCAR):
```
Al5NiPd4
1.0
3.047 0.000 0.000
0.000 3.047 0.000
0.000 0.000 15.183
Al Ni Pd
5 1 4
direct
0.000 0.000 0.000
0.000 0.000 0.205
0.000 0.000 0.410
0.000 0.000 0.590
0.000 0.000 0.795
0.500 0.500 0.500
0.500 0.500 0.103
0.500 0.500 0.307
0.500 0.500 0.693
0.500 0.500 0.897
```


No. 3
TlGa2NiGe | PBE | relaxed

Output
volume	20.2	Å³ per atom
space group	P4/mmm (123)
M_tot	0.00	μB/f.u.

Structure (POSCAR):
```
TlGa2NiGe
1.0
4.656 0.000 0.000
0.000 4.656 0.000
0.000 0.000 4.668
Tl Ga Ni Ge
1 2 1 1
direct
0.000 0.000 0.000
0.000 0.500 0.500
0.500 0.000 0.500
0.500 0.500 0.500
0.500 0.500 0.000
```


| no. | electronic total energy (eV/atom) |
| --- | --- |
| 1 | -4.369 |
| 2 | -5.349 |
| 3 | -3.746 |